1.
DFT (GGA-PBE) results for a relaxed Li2Pr2InPt5 crystal.

a = 3.8943 Å, b = 9.6069 Å, c = 9.6069 Å
α = 90.00°, β = 90.00°, γ = 90.00°
Sites, in units of the cell vectors:
Li (0.0000, 0.1180, 0.6180)
Li (0.0000, 0.8820, 0.3820)
Li (0.0000, 0.6180, 0.8820)
Li (0.0000, 0.3820, 0.1180)
Pr (0.0000, 0.6798, 0.1798)
Pr (0.0000, 0.3202, 0.8202)
Pr (0.0000, 0.1798, 0.3202)
Pr (0.0000, 0.8202, 0.6798)
In (0.0000, 0.0000, 0.0000)
In (0.0000, 0.5000, 0.5000)
Pt (0.5000, 0.2136, 0.0662)
Pt (0.5000, 0.7864, 0.9338)
Pt (0.5000, 0.0662, 0.7864)
Pt (0.5000, 0.7136, 0.4338)
Pt (0.5000, 0.9338, 0.2136)
Pt (0.5000, 0.2864, 0.5662)
Pt (0.5000, 0.5662, 0.7136)
Pt (0.5000, 0.4338, 0.2864)
Pt (0.5000, 0.5000, 0.0000)
Pt (0.5000, 0.0000, 0.5000)

Summary:
The calculation puts the formation energy at -8.2 eV/f.u. The calculation puts the mass density at 12.806 Mg/m³. As for the total magnetic moment: 0.00 μB/cell.

***

2.
DFT (GGA-PBE) results for a relaxed Pr12Dy7In crystal.

a = 10.1256 Å, b = 10.1256 Å, c = 10.1256 Å
α = 109.47°, β = 109.47°, γ = 109.47°
Sites, in units of the cell vectors:
Pr (0.5583, 0.7798, 0.7785)
Pr (0.0013, 0.7798, 0.2215)
Pr (0.4417, 0.2202, 0.2215)
Pr (0.9987, 0.2202, 0.7785)
Pr (0.7785, 0.9987, 0.2202)
Pr (0.7785, 0.5583, 0.7798)
Pr (0.2215, 0.0013, 0.7798)
Pr (0.2215, 0.4417, 0.2202)
Pr (0.7798, 0.7785, 0.5583)
Pr (0.2202, 0.2215, 0.4417)
Pr (0.7798, 0.2215, 0.0013)
Pr (0.2202, 0.7785, 0.9987)
Dy (0.5000, 0.5000, 0.0000)
Dy (0.0000, 0.5000, 0.5000)
Dy (0.5000, 0.0000, 0.5000)
Dy (0.5000, 0.5000, 0.5000)
Dy (0.0000, 0.0000, 0.5000)
Dy (0.5000, 0.0000, 0.0000)
Dy (0.0000, 0.5000, 0.0000)
In (0.0000, 0.0000, 0.0000)

Summary:
The calculation puts the formation energy at 12.8 eV/f.u. The calculation puts the mass density at 6.115 Mg/m³. The calculation puts the excess energy over the best structure of this formula in the dataset at 0.500 eV per atom. As for the total magnetic moment: 0.00 μB/cell.

***

3.
DFT (GGA-PBE) results for a relaxed ZrSb2TeOs crystal.

a = 5.5296 Å, b = 5.5296 Å, c = 5.4082 Å
α = 90.00°, β = 90.00°, γ = 90.00°
Sites, in units of the cell vectors:
Sb (0.0000, 0.5000, 0.0000)
Sb (0.5000, 0.0000, 0.0000)
Te (0.0000, 0.0000, 0.5000)
Os (0.5000, 0.5000, 0.5000)
Zr (0.0000, 0.0000, 0.0000)

Summary:
The calculation puts the mass density at 6.553 Mg/m³. The calculation puts the excess energy over the best structure of this formula in the dataset at 0.614 eV per atom. The value obtained for the formation energy without anion corrections is 1.366 eV/atom. As for the total magnetic moment: 3.23 μB/cell.

***

4.
DFT (GGA-PBE) results for a relaxed RbCdN crystal.

a = 4.0692 Å, b = 6.2632 Å, c = 10.4464 Å
α = 130.16°, β = 77.12°, γ = 72.16°
Sites, in units of the cell vectors:
N (0.9521, 0.3622, 0.2195)
N (0.0479, 0.6378, 0.7805)
Rb (0.5590, 0.0491, 0.3368)
Rb (0.4410, 0.9509, 0.6632)
Cd (0.4575, 0.7087, 0.8803)
Cd (0.5425, 0.2913, 0.1197)

Summary:
The calculation puts the mass density at 4.451 Mg/m³. The value obtained for the formation energy without anion corrections is 0.422 eV/atom. As for the total magnetic moment: 0.00 μB/cell.

***

Which of these has the lowest mass density? RbCdN